La2PbWO8 (PBE with a Hubbard U, optimized geometry); total magnetization = 0.00 Bohr magnetons per cell; space group = P-1, No. 2; energy = -88.0 eV/cell
1.0
5.117 -0.148 0.038
-0.132 5.121 0.037
0.063 0.065 7.125
O W Pb La
8 1 1 2
Direct
0.852 0.203 0.792
0.726 0.727 0.969
0.798 0.149 0.209
0.148 0.797 0.208
0.274 0.273 0.031
0.290 0.289 0.477
0.710 0.711 0.523
0.202 0.851 0.791
0.000 0.000 0.000
0.000 0.000 0.500
0.537 0.537 0.241
0.463 0.463 0.759